DFT (meta-GGA SCAN) results for a PBEsol-optimized structure of La2RhW.

a = 3.4341 Å, b = 4.5632 Å, c = 5.2957 Å
α = 90.00°, β = 90.00°, γ = 90.00°
Sites, in units of the cell vectors:
1 Rh 0.5000 0.5000 0.0000
2 La 0.0000 0.0000 0.0000
3 La 0.5000 0.0000 0.5000
4 W 0.0000 0.5000 0.5000

Results
energy relative to the lowest polymorph listed for this composition: 0.00 kcal/mol of atoms
volume: 83.0 Å³/cell
E_tot: -47.006 eV per atom